(1)
A PBEsol-optimized structure of LiNiIr2, computed with SCAN.

Values from the calculation:
- Energy of formation from the pure elements: -0.06 eV per atom
- DFT total energy: -40.249 eV/atom
- Space-group type: Pmm2
- Mass density: 14.8 Mg/m³
- Excess energy over the best structure of this formula in the dataset: 0.078 eV/atom

```
4
Lattice="-0.773 -2.514 0.190 2.887 -0.710 2.345 -2.913 1.195 3.949" Properties=species:S:1:pos:R:3 pbc="T T T"
Ir 0.349 -1.322 2.226
Ir -0.016 0.006 0.021
Li -1.495 0.613 2.026
Ni -1.095 -0.729 4.184
```

(2)
A PBEsol-optimized structure of CsPdF3, computed with SCAN.

Values from the calculation:
- Energy relative to the elements, uncorrected: -2.046 eV per atom
- DFT total energy: -18.287 eV/atom
- Space-group type: Pm-3m
- Mass density: 6.2 Mg/m³

```
5
Lattice="4.309 0.000 0.000 0.000 4.309 0.000 0.000 0.000 4.309" Properties=species:S:1:pos:R:3 pbc="T T T"
Cs 0.000 0.000 0.000
F 2.154 2.154 0.000
F 0.000 2.154 2.154
Pd 2.154 2.154 2.154
F 2.154 0.000 2.154
```

(3)
A PBEsol-optimized structure of K3RhCl6, computed with SCAN.

Values from the calculation:
- Energy relative to the elements, uncorrected: -1.674 eV per atom
- DFT total energy: -12.337 eV/atom
- Space-group type: P2_1/c
- Mass density: 2.8 Mg/m³

```
40
Lattice="-3.609 -6.028 -2.363 10.115 -5.885 -0.437 -4.804 -1.557 11.310" Properties=species:S:1:pos:R:3 pbc="T T T"
Rh 2.655 -3.721 5.436
Cl -6.111 -7.873 9.160
Cl -2.700 -3.688 6.242
Cl -4.722 -2.518 9.181
Cl 4.402 -9.782 2.267
Rh 0.000 0.000 0.000
Cl -0.376 -2.056 1.045
Cl 4.419 -4.270 4.020
K 6.515 -8.092 0.650
Rh 3.253 -5.956 -1.400
K -4.813 -5.378 7.859
Cl -4.532 -6.088 4.835
Cl 4.107 -9.192 5.428
K -0.587 -5.112 0.600
Cl -2.657 -7.932 7.894
K 2.938 -7.133 3.216
K 2.289 -8.358 7.909
K 2.770 -2.957 1.728
Rh -4.207 -3.793 4.473
Cl -1.114 -7.605 2.186
Cl -2.405 -4.278 3.081
Cl 4.359 -5.538 0.615
K -1.495 -3.289 8.962
Cl 1.121 -4.531 3.857
Cl 0.581 -8.939 4.653
K 2.369 -11.706 4.123
K -1.236 -6.337 5.293
Cl 2.816 -5.865 6.324
K 3.197 -10.181 -0.453
Cl 2.077 -11.415 7.464
K -0.667 -1.764 4.386
Cl 6.234 -7.382 3.674
Cl -0.087 -6.166 8.686
Cl 1.880 -4.115 -1.005
K -1.068 -10.513 6.781
Cl 7.813 -5.597 -0.651
Cl 6.424 -10.953 -0.672
Cl -2.717 -9.201 4.490
Cl -0.179 -9.355 9.514
Cl 1.789 -7.305 -0.177
```

(4)
A PBEsol-optimized structure of ScHgP, computed with SCAN.

Values from the calculation:
- Energy of formation from the pure elements: -0.52 eV per atom
- DFT total energy: -31.459 eV/atom
- Space-group type: F-43m
- Mass density: 7.1 Mg/m³

```
3
Lattice="4.516 0.000 0.000 2.258 3.911 0.000 2.258 1.304 3.687" Properties=species:S:1:pos:R:3 pbc="T T T"
P 4.516 2.607 1.844
Hg 0.000 0.000 0.000
Sc 2.258 1.304 0.922
```